(1)
This record from the Alexandria database describes an optimized crystal structure of ZrInH. The functional is PBE.

**Final energy**: -5.15 eV/atom
**Crystal system**: orthorhombic

Cell lengths 7.602, 4.058, 6.217 Å; angles 90.00, 90.00, 90.00 degrees
Sites, in units of the cell vectors:
Zr1 0.150 0.250 0.099
Zr2 0.350 0.750 0.599
Zr3 0.650 0.250 0.401
Zr4 0.850 0.750 0.901
In1 0.057 0.250 0.633
In2 0.443 0.750 0.133
In3 0.557 0.250 0.867
In4 0.943 0.750 0.367
H1 0.109 0.750 0.981
H2 0.391 0.250 0.481
H3 0.609 0.750 0.519
H4 0.891 0.250 0.019

---

(2)
This record from the Alexandria database describes an optimized crystal structure of Zr3InH. The functional is PBE.

**Final energy**: -6.38 eV/atom
**Crystal system**: tetragonal

Cell lengths 6.920, 6.920, 6.920 Å; angles 128.52, 128.52, 75.79 degrees
Sites, in units of the cell vectors:
Zr1 0.129 0.129 0.000
Zr2 0.371 0.117 0.746
Zr3 0.371 0.625 0.254
Zr4 0.375 0.629 0.746
Zr5 0.871 0.871 0.000
Zr6 0.883 0.629 0.254
In1 0.616 0.116 0.500
In2 0.884 0.384 0.500
H1 0.250 0.750 0.500
H2 0.500 0.500 0.000

---

(3)
This record from the Alexandria database describes an optimized crystal structure of Zr3InH. The functional is PBE.

**Final energy**: -6.24 eV/atom
**Crystal system**: cubic

Cell lengths 8.423, 8.423, 8.423 Å; angles 60.00, 60.00, 60.00 degrees
Sites, in units of the cell vectors:
Zr1 0.066 0.066 0.684
Zr2 0.066 0.684 0.066
Zr3 0.066 0.684 0.684
Zr4 0.316 0.316 0.934
Zr5 0.316 0.934 0.316
Zr6 0.316 0.934 0.934
Zr7 0.684 0.066 0.066
Zr8 0.684 0.066 0.684
Zr9 0.684 0.684 0.066
Zr10 0.934 0.316 0.316
Zr11 0.934 0.316 0.934
Zr12 0.934 0.934 0.316
In1 0.000 0.500 0.500
In2 0.500 0.000 0.500
In3 0.500 0.500 0.000
In4 0.500 0.500 0.500
H1 0.000 0.000 0.000
H2 0.000 0.000 0.500
H3 0.000 0.500 0.000
H4 0.500 0.000 0.000

---

(4)
This record from the Alexandria database describes an optimized crystal structure of Zr3InH. The functional is PBE.

**Final energy**: -6.56 eV/atom
**Crystal system**: monoclinic

Cell lengths 5.223, 6.016, 6.031 Å; angles 90.00, 90.80, 90.00 degrees
Sites, in units of the cell vectors:
Zr1 0.000 0.000 0.000
Zr2 0.000 0.500 0.000
Zr3 0.021 0.250 0.468
Zr4 0.478 0.750 0.268
Zr5 0.522 0.250 0.732
Zr6 0.979 0.750 0.532
In1 0.484 0.750 0.780
In2 0.516 0.250 0.220
H1 0.142 0.250 0.797
H2 0.858 0.750 0.203

---

(5)
This record from the Alexandria database describes an optimized crystal structure of Zr4InH2. The functional is PBE.

**Final energy**: -6.51 eV/atom
**Crystal system**: triclinic

Cell lengths 5.427, 5.685, 8.277 Å; angles 72.66, 76.56, 84.03 degrees
Sites, in units of the cell vectors:
Zr1 0.000 0.000 0.000
Zr2 0.007 0.183 0.595
Zr3 0.029 0.776 0.397
Zr4 0.040 0.407 0.171
Zr5 0.496 0.863 0.704
Zr6 0.507 0.287 0.885
Zr7 0.524 0.095 0.300
Zr8 0.539 0.695 0.100
In1 0.534 0.497 0.481
In2 0.984 0.595 0.792
H1 0.255 0.132 0.772
H2 0.278 0.036 0.147
H3 0.338 0.608 0.948
H4 0.769 0.025 0.484

---

(6)
This record from the Alexandria database describes an optimized crystal structure of Zr3InH. The functional is PBE.

**Final energy**: -6.60 eV/atom
**Crystal system**: trigonal

Cell lengths 5.713, 5.713, 5.713 Å; angles 88.72, 88.72, 88.72 degrees
Sites, in units of the cell vectors:
Zr1 0.003 0.250 0.497
Zr2 0.250 0.497 0.003
Zr3 0.497 0.003 0.250
Zr4 0.503 0.997 0.750
Zr5 0.750 0.503 0.997
Zr6 0.997 0.750 0.503
In1 0.000 0.000 0.000
In2 0.500 0.500 0.500
H1 0.250 0.250 0.250
H2 0.750 0.750 0.750

---

(7)
This record from the Alexandria database describes an optimized crystal structure of Zr3InH3. The functional is PBE.

**Final energy**: -5.76 eV/atom
**Crystal system**: trigonal

Cell lengths 8.382, 8.382, 8.382 Å; angles 39.52, 39.52, 39.52 degrees
Sites, in units of the cell vectors:
Zr1 0.066 0.398 0.727
Zr2 0.273 0.934 0.602
Zr3 0.398 0.727 0.066
Zr4 0.602 0.273 0.934
Zr5 0.727 0.066 0.398
Zr6 0.934 0.602 0.273
In1 0.166 0.166 0.166
In2 0.834 0.834 0.834
H1 0.024 0.696 0.358
H2 0.304 0.642 0.976
H3 0.358 0.024 0.696
H4 0.642 0.976 0.304
H5 0.696 0.358 0.024
H6 0.976 0.304 0.642

---

(8)
This record from the Alexandria database describes an optimized crystal structure of Zr3InH. The functional is PBE.

**Final energy**: -5.85 eV/atom
**Crystal system**: orthorhombic

Cell lengths 3.022, 8.164, 8.164 Å; angles 43.60, 90.00, 90.00 degrees
Sites, in units of the cell vectors:
Zr1 0.000 0.000 0.000
Zr2 0.500 0.112 0.603
Zr3 0.500 0.603 0.112
In1 0.500 0.180 0.180
H1 0.000 0.860 0.860

---

(9)
This record from the Alexandria database describes an optimized crystal structure of HIr. The functional is PBE.

**Final energy**: -5.77 eV/atom
**Crystal system**: orthorhombic

Cell lengths 5.060, 4.561, 4.513 Å; angles 67.78, 56.56, 55.66 degrees
Sites, in units of the cell vectors:
H1 0.042 0.042 0.708
H2 0.292 0.292 0.958
H3 0.708 0.708 0.042
H4 0.958 0.958 0.292
Ir1 0.141 0.609 0.609
Ir2 0.391 0.859 0.859
Ir3 0.609 0.141 0.141
Ir4 0.859 0.391 0.391

---

(10)
This record from the Alexandria database describes an optimized crystal structure of HIr. The functional is PBE.

**Final energy**: -5.85 eV/atom
**Crystal system**: orthorhombic

Cell lengths 2.752, 4.668, 4.668 Å; angles 106.33, 90.00, 90.00 degrees
Sites, in units of the cell vectors:
H1 0.000 0.000 0.000
H2 0.500 0.082 0.749
H3 0.500 0.749 0.082
Ir1 0.000 0.325 0.879
Ir2 0.000 0.879 0.325
Ir3 0.500 0.406 0.406

---

(11)
This record from the Alexandria database describes an optimized crystal structure of HIr. The functional is PBE.

**Final energy**: -5.85 eV/atom
**Crystal system**: tetragonal

Cell lengths 7.934, 7.934, 2.712 Å; angles 90.00, 90.00, 90.00 degrees
Sites, in units of the cell vectors:
H1 0.048 0.176 0.000
H2 0.176 0.952 0.000
H3 0.358 0.578 0.500
H4 0.422 0.358 0.500
H5 0.578 0.642 0.500
H6 0.642 0.422 0.500
H7 0.824 0.048 0.000
H8 0.952 0.824 0.000
Ir1 0.124 0.364 0.000
Ir2 0.176 0.658 0.500
Ir3 0.342 0.176 0.500
Ir4 0.364 0.876 0.000
Ir5 0.636 0.124 0.000
Ir6 0.658 0.824 0.500
Ir7 0.824 0.342 0.500
Ir8 0.876 0.636 0.000

---

(12)
This record from the Alexandria database describes an optimized crystal structure of H3Ir. The functional is PBE.

**Final energy**: -4.44 eV/atom
**Crystal system**: orthorhombic

Cell lengths 3.500, 3.500, 3.500 Å; angles 131.47, 95.65, 103.84 degrees
Sites, in units of the cell vectors:
H1 0.000 0.000 0.000
H2 0.237 0.465 0.772
H3 0.694 0.465 0.228
Ir1 0.223 0.723 0.500

---

(13)
This record from the Alexandria database describes an optimized crystal structure of HIr. The functional is PBE.

**Final energy**: -5.82 eV/atom
**Crystal system**: tetragonal

Cell lengths 5.523, 5.523, 5.523 Å; angles 93.50, 93.50, 151.39 degrees
Sites, in units of the cell vectors:
H1 0.075 0.153 0.228
H2 0.153 0.925 0.078
H3 0.847 0.075 0.922
H4 0.925 0.847 0.772
Ir1 0.101 0.697 0.798
Ir2 0.303 0.101 0.405
Ir3 0.697 0.899 0.595
Ir4 0.899 0.303 0.202

---

(14)
This record from the Alexandria database describes an optimized crystal structure of HIr. The functional is PBE.

**Final energy**: -5.67 eV/atom
**Crystal system**: cubic

Cell lengths 2.963, 2.963, 2.963 Å; angles 60.00, 60.00, 60.00 degrees
Sites, in units of the cell vectors:
H1 0.000 0.000 0.000
Ir1 0.750 0.750 0.750

---

(15)
This record from the Alexandria database describes an optimized crystal structure of H3Ir. The functional is PBE.

**Final energy**: -4.47 eV/atom
**Crystal system**: tetragonal

Cell lengths 2.801, 2.801, 3.718 Å; angles 90.00, 90.00, 90.00 degrees
Sites, in units of the cell vectors:
H1 0.000 0.000 0.000
H2 0.000 0.500 0.421
H3 0.500 0.000 0.421
Ir1 0.500 0.500 0.137

---

(16)
This record from the Alexandria database describes an optimized crystal structure of HIr. The functional is PBE.

**Final energy**: -5.76 eV/atom
**Crystal system**: orthorhombic

Cell lengths 2.756, 10.690, 3.635 Å; angles 90.00, 90.00, 90.00 degrees
Sites, in units of the cell vectors:
H1 0.250 0.086 0.088
H2 0.250 0.414 0.088
H3 0.250 0.750 0.402
H4 0.750 0.250 0.598
H5 0.750 0.586 0.912
H6 0.750 0.914 0.912
Ir1 0.250 0.250 0.237
Ir2 0.250 0.582 0.269
Ir3 0.250 0.918 0.269
Ir4 0.750 0.082 0.731
Ir5 0.750 0.418 0.731
Ir6 0.750 0.750 0.763

---

(17)
This record from the Alexandria database describes an optimized crystal structure of HIr. The functional is PBE.

**Final energy**: -5.67 eV/atom
**Crystal system**: tetragonal

Cell lengths 5.124, 5.124, 2.797 Å; angles 90.00, 90.00, 90.00 degrees
Sites, in units of the cell vectors:
H1 0.108 0.108 0.000
H2 0.392 0.608 0.500
H3 0.608 0.392 0.500
H4 0.892 0.892 0.000
Ir1 0.240 0.760 0.000
Ir2 0.260 0.260 0.500
Ir3 0.740 0.740 0.500
Ir4 0.760 0.240 0.000

---

(18)
This record from the Alexandria database describes an optimized crystal structure of HIr. The functional is PBE.

**Final energy**: -5.43 eV/atom
**Crystal system**: cubic

Cell lengths 4.720, 4.720, 4.720 Å; angles 109.47, 109.47, 109.47 degrees
Sites, in units of the cell vectors:
H1 0.000 0.000 0.765
H2 0.000 0.765 0.000
H3 0.235 0.235 0.235
H4 0.765 0.000 0.000
Ir1 0.000 0.000 0.406
Ir2 0.000 0.406 0.000
Ir3 0.406 0.000 0.000
Ir4 0.594 0.594 0.594

---

(19)
This record from the Alexandria database describes an optimized crystal structure of HIr. The functional is PBE.

**Final energy**: -5.67 eV/atom
**Crystal system**: hexagonal

Cell lengths 7.091, 7.091, 2.729 Å; angles 90.00, 90.00, 120.00 degrees
Sites, in units of the cell vectors:
H1 0.167 0.533 0.250
H2 0.366 0.833 0.250
H3 0.467 0.634 0.250
H4 0.533 0.366 0.750
H5 0.634 0.167 0.750
H6 0.833 0.467 0.750
Ir1 0.050 0.704 0.250
Ir2 0.296 0.346 0.250
Ir3 0.346 0.050 0.750
Ir4 0.654 0.950 0.250
Ir5 0.704 0.654 0.750
Ir6 0.950 0.296 0.750

---

(20)
This record from the Alexandria database describes an optimized crystal structure of HIr. The functional is PBE.

**Final energy**: -5.28 eV/atom
**Crystal system**: cubic

Cell lengths 5.157, 5.157, 5.157 Å; angles 90.00, 90.00, 90.00 degrees
Sites, in units of the cell vectors:
H1 0.000 0.250 0.500
H2 0.000 0.750 0.500
H3 0.250 0.500 0.000
H4 0.500 0.000 0.250
H5 0.500 0.000 0.750
H6 0.750 0.500 0.000
Ir1 0.000 0.500 0.250
Ir2 0.000 0.500 0.750
Ir3 0.250 0.000 0.500
Ir4 0.500 0.250 0.000
Ir5 0.500 0.750 0.000
Ir6 0.750 0.000 0.500